(1)
The following is a PBE calculation of SrPu2In9 after structural relaxation, from Alexandria via LeMat-Bulk.

- ΔE_f: -0.24 eV per atom
- SG: P4/mmm

Cell lengths 4.7171, 4.7171, 14.1731 Å; angles 90.00, 90.00, 90.00 degrees
Last column: nearest neighbours and their distance in Å.
Positions (direct):
Sr  0.0000  0.0000  0.0000  12 In 3.34-3.42
Pu  0.0000  0.0000  0.3371  12 In 3.29-3.34
Pu  0.0000  0.0000  0.6629  12 In 3.29-3.34
In  0.5000  0.5000  0.0000  4 Sr 3.34, 8 In 3.42
In  0.5000  0.5000  0.3371  8 In 3.29-3.30, 4 Pu 3.34
In  0.5000  0.5000  0.6629  8 In 3.29-3.30, 4 Pu 3.34
In  0.5000  0.0000  0.1751  2 Pu 3.29, 8 In 3.29-3.42, 2 Sr 3.42
In  0.5000  0.0000  0.5000  8 In 3.30-3.34, 4 Pu 3.30
In  0.5000  0.0000  0.8249  2 Pu 3.29, 8 In 3.29-3.42, 2 Sr 3.42
In  0.0000  0.5000  0.1751  2 Pu 3.29, 8 In 3.29-3.42, 2 Sr 3.42
In  0.0000  0.5000  0.5000  8 In 3.30-3.34, 4 Pu 3.30
In  0.0000  0.5000  0.8249  2 Pu 3.29, 8 In 3.29-3.42, 2 Sr 3.42

(2)
The following is a PBE calculation of LiCd6Ag8 after structural relaxation, from Alexandria via LeMat-Bulk.

- ΔE_f: -0.03 eV per atom
- SG: R-3

Cell lengths 7.4921, 7.4921, 7.4242 Å; angles 59.70, 59.70, 60.00 degrees
Last column: nearest neighbours and their distance in Å.
Positions (direct):
Li  0.0000  0.0000  0.0000  2 Ag 2.70, 6 Cd 2.87
Cd  0.4589  0.9361  0.8270  6 Ag 2.86-3.14, 1 Li 2.87, 2 Cd 3.15
Cd  0.0639  0.2220  0.1730  6 Ag 2.86-3.14, 1 Li 2.87, 2 Cd 3.15
Cd  0.2220  0.5411  0.1730  6 Ag 2.86-3.14, 1 Li 2.87, 2 Cd 3.15
Cd  0.7780  0.4589  0.8270  6 Ag 2.86-3.14, 1 Li 2.87, 2 Cd 3.15
Cd  0.9361  0.7780  0.8270  6 Ag 2.86-3.14, 1 Li 2.87, 2 Cd 3.15
Cd  0.5411  0.0639  0.1730  6 Ag 2.86-3.14, 1 Li 2.87, 2 Cd 3.15
Ag  0.6028  0.3168  0.3111  5 Ag 2.85-2.97, 4 Cd 2.86-2.92
Ag  0.6832  0.2307  0.6889  5 Ag 2.85-2.97, 4 Cd 2.86-2.92
Ag  0.2307  0.3972  0.6889  5 Ag 2.85-2.97, 4 Cd 2.86-2.92
Ag  0.8506  0.8506  0.4481  1 Li 2.70, 3 Ag 2.92, 3 Cd 2.92
Ag  0.1494  0.1494  0.5519  1 Li 2.70, 3 Ag 2.92, 3 Cd 2.92
Ag  0.7693  0.6028  0.3111  5 Ag 2.85-2.97, 4 Cd 2.86-2.92
Ag  0.3168  0.7693  0.3111  5 Ag 2.85-2.97, 4 Cd 2.86-2.92
Ag  0.3972  0.6832  0.6889  5 Ag 2.85-2.97, 4 Cd 2.86-2.92

(3)
The following is a PBE calculation of TbLuCd4 after structural relaxation, from Alexandria via LeMat-Bulk.

- ΔE_f: -0.22 eV per atom
- SG: F-43m

Cell lengths 5.8835, 5.8835, 5.8835 Å; angles 60.00, 60.00, 60.00 degrees
Last column: nearest neighbours and their distance in Å.
Positions (direct):
Lu  0.0000  0.0000  0.0000  12 Cd 3.45, 4 Tb 3.60
Tb  0.2500  0.2500  0.2500  12 Cd 3.45, 4 Lu 3.60
Cd  0.6249  0.6249  0.1252  6 Cd 2.94
Cd  0.6249  0.1252  0.6249  6 Cd 2.94
Cd  0.6249  0.6249  0.6249  6 Cd 2.94
Cd  0.1252  0.6249  0.6249  6 Cd 2.94

(4)
The following is a PBE calculation of Mg2Ga2Cu after structural relaxation, from Alexandria via LeMat-Bulk.

- Excess energy over the best structure of this formula in the dataset: 19.4 kJ/mol of formula units
- ΔE_f: -0.12 eV per atom
- SG: P4/mbm

Cell lengths 6.5017, 6.5017, 4.2669 Å; angles 90.00, 90.00, 90.00 degrees
Last column: nearest neighbours and their distance in Å.
Positions (direct):
Mg  0.1692  0.6692  0.5000  6 Ga 2.76-2.94
Mg  0.6692  0.8308  0.5000  6 Ga 2.76-2.94
Mg  0.8308  0.3308  0.5000  6 Ga 2.76-2.94
Mg  0.3308  0.1692  0.5000  6 Ga 2.76-2.94
Cu  0.0000  0.0000  0.0000  4 Ga 2.51
Cu  0.5000  0.5000  0.0000  4 Ga 2.51
Ga  0.3595  0.8595  0.0000  2 Cu 2.51, 1 Ga 2.58, 2 Mg 2.76
Ga  0.8595  0.6405  0.0000  2 Cu 2.51, 1 Ga 2.58, 2 Mg 2.76
Ga  0.6405  0.1405  0.0000  2 Cu 2.51, 1 Ga 2.58, 2 Mg 2.76
Ga  0.1405  0.3595  0.0000  2 Cu 2.51, 1 Ga 2.58, 2 Mg 2.76

(5)
The following is a PBE calculation of HfMgSe after structural relaxation, from Alexandria via LeMat-Bulk.

- Uncorrected formation energy: -0.618 eV per atom
- Excess energy over the best structure of this formula in the dataset: 8.1 kJ/mol of formula units
- SG: P2_1/m

Cell lengths 5.8750, 3.4879, 6.5213 Å; angles 90.00, 104.47, 90.00 degrees
Last column: nearest neighbours and their distance in Å.
Positions (direct):
Hf  0.6991  0.2500  0.9418  3 Se 2.70-2.75
Hf  0.3009  0.7500  0.0582  3 Se 2.70-2.75
Mg  0.6709  0.2500  0.4036  3 Se 2.75-2.84, 1 Hf 3.06
Mg  0.3291  0.7500  0.5964  3 Se 2.75-2.84, 1 Hf 3.06
Se  0.0810  0.2500  0.2733  3 Hf 2.70-2.75, 3 Mg 2.75-2.84
Se  0.9190  0.7500  0.7267  3 Hf 2.70-2.75, 3 Mg 2.75-2.84

(6)
The following is a PBE calculation of NaSmEuGa after structural relaxation, from Alexandria via LeMat-Bulk.

- ΔE_f: -0.11 eV per atom
- SG: F-43m

Cell lengths 5.4296, 5.4296, 5.4296 Å; angles 60.00, 60.00, 60.00 degrees
Last column: nearest neighbours and their distance in Å.
Positions (direct):
Eu  0.0000  0.0000  0.0000  4 Na 3.32, 4 Ga 3.32
Na  0.7500  0.7500  0.7500  4 Sm 3.32, 4 Eu 3.32
Ga  0.2500  0.2500  0.2500  4 Eu 3.32, 4 Sm 3.32
Sm  0.5000  0.5000  0.5000  4 Ga 3.32, 4 Na 3.32

(7)
The following is a PBE calculation of YAlZnAu3 after structural relaxation, from Alexandria via LeMat-Bulk.

- ΔE_f: -0.39 eV per atom
- SG: Cmcm

Cell lengths 6.1701, 6.6727, 6.8687 Å; angles 119.06, 90.00, 90.00 degrees
Last column: nearest neighbours and their distance in Å.
Positions (direct):
Y  0.7500  0.3017  0.6033  1 Zn 2.90, 4 Au 3.17, 2 Al 3.20
Y  0.2500  0.6983  0.3967  1 Zn 2.90, 4 Au 3.17, 2 Al 3.20
Al  0.2500  0.3711  0.7423  5 Au 2.44-2.61
Al  0.7500  0.6289  0.2577  5 Au 2.44-2.61
Zn  0.2500  0.9400  0.8799  5 Au 2.56-2.73
Zn  0.7500  0.0600  0.1201  5 Au 2.56-2.73
Au  0.2500  0.1676  0.3351  1 Al 2.44, 1 Zn 2.73
Au  0.0000  0.2873  0.0000  2 Zn 2.56, 2 Al 2.61, 1 Au 2.84
Au  0.5000  0.7127  0.0000  2 Zn 2.56, 2 Al 2.61, 1 Au 2.84
Au  0.5000  0.2873  0.0000  2 Zn 2.56, 2 Al 2.61, 1 Au 2.84
Au  0.0000  0.7127  0.0000  2 Zn 2.56, 2 Al 2.61, 1 Au 2.84
Au  0.7500  0.8324  0.6649  1 Al 2.44, 1 Zn 2.73

(8)
The following is a PBE calculation of HgTeCl2 after structural relaxation, from Alexandria via LeMat-Bulk.

- Uncorrected formation energy: 0.066 eV per atom
- Excess energy over the best structure of this formula in the dataset: 152.9 kJ/mol of formula units
- SG: P4/mmm

Cell lengths 3.2674, 3.2674, 9.6293 Å; angles 90.00, 90.00, 90.00 degrees
Last column: nearest neighbours and their distance in Å.
Positions (direct):
Te  0.5000  0.5000  0.7500  8 Cl 3.09, 4 Te 3.27
Hg  0.5000  0.5000  0.2500  4 Hg 3.27, 8 Cl 3.61
Cl  0.0000  0.0000  0.9626  4 Te 3.09, 4 Cl 3.27
Cl  0.0000  0.0000  0.5374  4 Te 3.09, 4 Cl 3.27

(9)
The following is a PBE calculation of Tb6PmHo after structural relaxation, from Alexandria via LeMat-Bulk.

- Excess energy over the best structure of this formula in the dataset: 138.5 kJ/mol of formula units
- ΔE_f: 0.20 eV per atom
- SG: P-1

Cell lengths 6.7357, 6.5415, 6.9816 Å; angles 104.40, 61.73, 89.87 degrees
Last column: nearest neighbours and their distance in Å.
Positions (direct):
Tb  0.0968  0.7278  0.4726  5 Tb 3.29-3.66, 1 Pm 3.41, 1 Ho 3.62
Tb  0.5762  0.7688  0.5189  5 Tb 3.29-3.65, 1 Ho 3.37
Tb  0.4238  0.2312  0.4811  5 Tb 3.29-3.65, 1 Ho 3.37
Tb  0.9032  0.2722  0.5274  5 Tb 3.29-3.66, 1 Pm 3.41, 1 Ho 3.62
Tb  0.5442  0.7479  0.9984  4 Tb 3.29-3.34, 1 Ho 3.48, 1 Pm 3.49
Tb  0.4558  0.2521  0.0016  4 Tb 3.29-3.34, 1 Ho 3.48, 1 Pm 3.49
Pm  0.0000  0.0000  0.0000  2 Ho 3.27, 4 Tb 3.41-3.49
Ho  0.0000  0.5000  0.0000  2 Pm 3.27, 6 Tb 3.37-3.62

(10)
The following is a PBE calculation of TcHgP2S after structural relaxation, from Alexandria via LeMat-Bulk.

- Uncorrected formation energy: 1.732 eV per atom
- Excess energy over the best structure of this formula in the dataset: 623.9 kJ/mol of formula units
- SG: P4/mmm

Cell lengths 4.9468, 4.9468, 4.9560 Å; angles 90.00, 90.00, 90.00 degrees
Last column: nearest neighbours and their distance in Å.
Positions (direct):
P  0.0000  0.5000  0.0000  2 Hg 2.47
P  0.5000  0.0000  0.0000  2 Hg 2.47
S  0.0000  0.0000  0.5000  2 Hg 2.48
Hg  0.0000  0.0000  0.0000  4 P 2.47, 2 S 2.48
Tc  0.5000  0.5000  0.5000  4 S 3.50, 8 P 3.50

(11)
The following is a PBE calculation of CaMo2Pt after structural relaxation, from Alexandria via LeMat-Bulk.

- Excess energy over the best structure of this formula in the dataset: 151.0 kJ/mol of formula units
- ΔE_f: 0.44 eV per atom
- SG: P4/mmm

Cell lengths 3.5025, 3.5025, 6.7859 Å; angles 90.00, 90.00, 90.00 degrees
Last column: nearest neighbours and their distance in Å.
Positions (direct):
Mo  0.0000  0.0000  0.0801  1 Mo 2.31
Mo  0.0000  0.0000  0.4199  1 Mo 2.31
Ca  0.5000  0.5000  0.7500  8 Mo 3.34, 2 Pt 3.39, 4 Ca 3.50
Pt  0.5000  0.5000  0.2500  8 Mo 2.73

(12)
The following is a PBE calculation of MgBeCl after structural relaxation, from Alexandria via LeMat-Bulk.

- Uncorrected formation energy: -0.013 eV per atom
- Excess energy over the best structure of this formula in the dataset: 158.8 kJ/mol of formula units
- SG: Cm

Cell lengths 6.1534, 6.1534, 6.1607 Å; angles 150.08, 150.08, 42.82 degrees
Last column: nearest neighbours and their distance in Å.
Positions (direct):
Be  0.0373  0.0373  0.9986  4 Mg 2.67-2.68, 1 Cl 2.97
Mg  0.6651  0.6651  0.0008  4 Be 2.67-2.68, 4 Cl 2.71-2.72
Cl  0.2976  0.2976  0.0006  4 Mg 2.71-2.72, 1 Be 2.97

(13)
The following is a PBE calculation of HfSc5N4 after structural relaxation, from Alexandria via LeMat-Bulk.

- Uncorrected formation energy: -1.549 eV per atom
- SG: C2/m

Cell lengths 3.2136, 6.4760, 7.1624 Å; angles 103.09, 102.96, 90.00 degrees
Last column: nearest neighbours and their distance in Å.
Positions (direct):
Hf  0.5000  0.0000  0.0000  6 N 2.26-2.27
Sc  0.1628  0.3167  0.3256  3 N 2.20-2.21
Sc  0.1671  0.8489  0.3342  4 N 2.23-2.27
Sc  0.8329  0.1511  0.6658  4 N 2.23-2.27
Sc  0.5000  0.5000  0.0000  4 N 2.29
Sc  0.8372  0.6833  0.6744  3 N 2.20-2.21
N  0.6668  0.0865  0.3335  5 Sc 2.20-2.26, 1 Hf 2.26
N  0.0002  0.2479  0.0004  4 Sc 2.21-2.29, 2 Hf 2.27
N  0.3332  0.9135  0.6665  5 Sc 2.20-2.26, 1 Hf 2.26
N  0.9998  0.7521  0.9996  4 Sc 2.21-2.29, 2 Hf 2.27

(14)
The following is a PBE calculation of V2AgHPt after structural relaxation, from Alexandria via LeMat-Bulk.

- SG: P4/mmm

Cell lengths 3.8567, 3.8567, 4.1437 Å; angles 90.00, 90.00, 90.00 degrees
Last column: nearest neighbours and their distance in Å.
Positions (direct):
H  0.0000  0.0000  0.0000  4 V 1.93, 2 Ag 2.07
Ag  0.0000  0.0000  0.5000  2 H 2.07
Pt  0.5000  0.5000  0.5000  4 Ag 2.73, 8 V 2.83
V  0.0000  0.5000  0.0000  2 H 1.93
V  0.5000  0.0000  0.0000  2 H 1.93

Calculated values (eV/atom) of raw total energy for the records, taken in order: -4.825, -2.047, -2.360, -2.789, -5.629, -4.945, -3.940, -1.718, -4.439, -3.391, -6.985, -2.402, -9.040, -6.092.
Calculated values (μB per cell) of magnetic moment for the records, taken in order: 11.2, 0.0, 0.0, 0.0, 0.0, 7.4, 0.0, 0.0, 0.0, 2.9, 1.0, 0.0, 0.0, 0.0.